(1)
First-principles (PBE-GGA) data for a geometry-optimized NdIn3Hg3 structure, as listed in the Alexandria database.

Cell and atoms, written as CIF:
```
data_NdIn3Hg3
_cell_length_a 7.8225
_cell_length_b 7.8225
_cell_length_c 7.8225
_cell_angle_alpha 90.00
_cell_angle_beta 90.00
_cell_angle_gamma 90.00
_space_group_name_H-M_alt 'P m -3 n'
_space_group_IT_number 223
_space_group_name_Hall '-P 4n 2 3'
loop_
_atom_site_label
_atom_site_fract_x
_atom_site_fract_y
_atom_site_fract_z
_atom_site_occupancy
Nd1 0.0000 0.0000 0.0000 1
In1 0.0000 0.2500 0.5000 1
Hg1 0.0000 0.5000 0.2500 1
```

Summary:
Magnetic moment: 0.00 μB per formula unit
Calculated density: 7.57 g/cm3
E above lowest polymorph: 316 kJ/mol of formula units
Formation energy from the elements: 2.1 eV per formula unit


(2)
First-principles (PBE-GGA) data for a geometry-optimized Nd5In4Hg structure, as listed in the Alexandria database.

Cell and atoms, written as CIF:
```
data_Nd5In4Hg
_cell_length_a 3.8487
_cell_length_b 3.8487
_cell_length_c 19.5868
_cell_angle_alpha 90.00
_cell_angle_beta 90.00
_cell_angle_gamma 90.00
_space_group_name_H-M_alt 'P 4/m m m'
_space_group_IT_number 123
_space_group_name_Hall '-P 4 2'
loop_
_atom_site_label
_atom_site_fract_x
_atom_site_fract_y
_atom_site_fract_z
_atom_site_occupancy
Nd1 0.0000 0.0000 0.0000 1
Nd2 0.0000 0.0000 0.2006 1
Nd3 0.0000 0.0000 0.4020 1
In1 0.5000 0.5000 0.1002 1
In2 0.5000 0.5000 0.3021 1
Hg1 0.5000 0.5000 0.5000 1
```

Summary:
Magnetic moment: 0.00 μB per formula unit
Calculated density: 7.90 g/cm3
Formation energy from the elements: -4.9 eV per formula unit


(3)
First-principles (PBE-GGA) data for a geometry-optimized NdIn3Hg4 structure, as listed in the Alexandria database.

Cell and atoms, written as CIF:
```
data_NdIn3Hg4
_cell_length_a 5.0155
_cell_length_b 5.0155
_cell_length_c 8.1685
_cell_angle_alpha 90.00
_cell_angle_beta 90.00
_cell_angle_gamma 90.00
_space_group_name_H-M_alt 'P 4/m m m'
_space_group_IT_number 123
_space_group_name_Hall '-P 4 2'
loop_
_atom_site_label
_atom_site_fract_x
_atom_site_fract_y
_atom_site_fract_z
_atom_site_occupancy
Nd1 0.0000 0.0000 0.0000 1
In1 0.0000 0.0000 0.5000 1
In2 0.5000 0.5000 0.0000 1
In3 0.5000 0.5000 0.5000 1
Hg1 0.0000 0.5000 0.2545 1
```

Summary:
Magnetic moment: 0.00 μB per formula unit
Calculated density: 10.43 g/cm3
Formation energy from the elements: -1.7 eV per formula unit


(4)
First-principles (PBE-GGA) data for a geometry-optimized Nd3In2Hg structure, as listed in the Alexandria database.

Cell and atoms, written as CIF:
```
data_Nd3In2Hg
_cell_length_a 3.7223
_cell_length_b 3.7223
_cell_length_c 12.4573
_cell_angle_alpha 90.00
_cell_angle_beta 90.00
_cell_angle_gamma 90.00
_space_group_name_H-M_alt 'P 4/m m m'
_space_group_IT_number 123
_space_group_name_Hall '-P 4 2'
loop_
_atom_site_label
_atom_site_fract_x
_atom_site_fract_y
_atom_site_fract_z
_atom_site_occupancy
Nd1 0.0000 0.0000 0.0000 1
Nd2 0.0000 0.0000 0.3358 1
In1 0.5000 0.5000 0.1700 1
Hg1 0.5000 0.5000 0.5000 1
```

Summary:
Magnetic moment: 0.00 μB per formula unit
Calculated density: 8.30 g/cm3
Formation energy from the elements: -2.9 eV per formula unit


(5)
First-principles (PBE-GGA) data for a geometry-optimized Nd3In2Hg8 structure, as listed in the Alexandria database.

Cell and atoms, written as CIF:
```
data_Nd3In2Hg8
_cell_length_a 6.1071
_cell_length_b 6.1071
_cell_length_c 33.7990
_cell_angle_alpha 90.00
_cell_angle_beta 90.00
_cell_angle_gamma 120.00
_space_group_name_H-M_alt 'R -3 m'
_space_group_IT_number 166
_space_group_name_Hall '-R 3 2"'
loop_
_atom_site_label
_atom_site_fract_x
_atom_site_fract_y
_atom_site_fract_z
_atom_site_occupancy
Nd1 0.0000 0.0000 0.0000 1
Nd2 0.0000 0.0000 0.1891 1
In1 0.0000 0.0000 0.3662 1
Hg1 0.0000 0.0000 0.2819 1
Hg2 0.0009 0.5004 0.7737 1
```

Summary:
Magnetic moment: 0.00 μB per formula unit
Calculated density: 10.35 g/cm3
Formation energy from the elements: -1.7 eV per formula unit


(6)
First-principles (PBE-GGA) data for a geometry-optimized Nd4In5Hg2 structure, as listed in the Alexandria database.

Cell and atoms, written as CIF:
```
data_Nd4In5Hg2
_cell_length_a 8.0730
_cell_length_b 3.6401
_cell_length_c 10.4024
_cell_angle_alpha 90.00
_cell_angle_beta 94.59
_cell_angle_gamma 90.00
_space_group_name_H-M_alt 'P 1 2/m 1'
_space_group_IT_number 10
_space_group_name_Hall '-P 2y'
loop_
_atom_site_label
_atom_site_fract_x
_atom_site_fract_y
_atom_site_fract_z
_atom_site_occupancy
Nd1 0.1732 0.0000 0.3845 1
Nd2 0.2724 0.0000 0.9424 1
In1 0.1900 0.5000 0.6620 1
In2 0.4444 0.5000 0.2023 1
In3 0.5000 0.5000 0.5000 1
Hg1 0.0631 0.5000 0.1371 1
```

Summary:
Magnetic moment: 0.00 μB per formula unit
Calculated density: 8.46 g/cm3
Formation energy from the elements: -4.7 eV per formula unit


(7)
First-principles (PBE-GGA) data for a geometry-optimized Nd5InHg3 structure, as listed in the Alexandria database.

Cell and atoms, written as CIF:
```
data_Nd5InHg3
_cell_length_a 9.4768
_cell_length_b 9.4768
_cell_length_c 6.8031
_cell_angle_alpha 90.00
_cell_angle_beta 90.00
_cell_angle_gamma 120.00
_space_group_name_H-M_alt 'P 63/m c m'
_space_group_IT_number 193
_space_group_name_Hall '-P 6c 2'
loop_
_atom_site_label
_atom_site_fract_x
_atom_site_fract_y
_atom_site_fract_z
_atom_site_occupancy
Nd1 0.0000 0.2958 0.2500 1
Nd2 0.3333 0.6667 0.0000 1
In1 0.0000 0.0000 0.0000 1
Hg1 0.0000 0.3683 0.7500 1
```

Summary:
Magnetic moment: 0.00 μB per formula unit
Calculated density: 9.02 g/cm3
Formation energy from the elements: -3.5 eV per formula unit


(8)
First-principles (PBE-GGA) data for a geometry-optimized Nd2InHg structure, as listed in the Alexandria database.

Cell and atoms, written as CIF:
```
data_Nd2InHg
_cell_length_a 3.7877
_cell_length_b 3.7877
_cell_length_c 8.0115
_cell_angle_alpha 90.00
_cell_angle_beta 90.00
_cell_angle_gamma 90.00
_space_group_name_H-M_alt 'P 4/m m m'
_space_group_IT_number 123
_space_group_name_Hall '-P 4 2'
loop_
_atom_site_label
_atom_site_fract_x
_atom_site_fract_y
_atom_site_fract_z
_atom_site_occupancy
Nd1 0.0000 0.0000 0.2469 1
In1 0.5000 0.5000 0.5000 1
Hg1 0.5000 0.5000 0.0000 1
```

Summary:
Magnetic moment: 0.00 μB per formula unit
Calculated density: 8.72 g/cm3
Formation energy from the elements: -1.9 eV per formula unit


Question: Among the records above, which one has the lowest formation energy from the elements?
Answer: Nd5In4Hg


Question: Which value of magnetic moment does entry 3 give?
Answer: 0.00 μB per formula unit


Question: The highest formation energy from the elements belongs to which entry?
Answer: NdIn3Hg3


Question: calculated density of number 1 (NdIn3Hg3)?
Answer: 7.57 g/cm3